Record 1
DFT (PBE) results for NpAg7Se6 after structural relaxation.

a b c (Å): 7.4492 7.4492 8.1027
angles (deg): 62.63 62.63 60.00
Last column: nearest neighbours and their distance in Å.
Element x y z (fractional)
1 Np 0.9988 0.9988 0.0035  6 Se 2.84-2.85
2 Ag 0.8512 0.1955 0.3896  4 Se 2.64-2.91, 1 Ag 2.95
3 Ag 0.4342 0.1321 0.6200  4 Se 2.66-2.94, 3 Ag 2.95-2.97
4 Ag 0.8137 0.4342 0.6200  4 Se 2.66-2.94, 3 Ag 2.95-2.97
5 Ag 0.6565 0.6565 0.0306  6 Se 2.87-2.97
6 Ag 0.1955 0.5637 0.3896  4 Se 2.64-2.91, 1 Ag 2.95
7 Ag 0.5637 0.8512 0.3896  4 Se 2.64-2.91, 1 Ag 2.95
8 Ag 0.1321 0.8137 0.6200  4 Se 2.66-2.94, 3 Ag 2.95-2.97
9 Se 0.7435 0.0641 0.7927  5 Ag 2.66-2.97, 1 Np 2.84
10 Se 0.5938 0.2501 0.2175  5 Ag 2.64-2.91, 1 Np 2.85
11 Se 0.9387 0.5938 0.2175  5 Ag 2.64-2.91, 1 Np 2.85
12 Se 0.0641 0.3997 0.7927  5 Ag 2.66-2.97, 1 Np 2.84
13 Se 0.3997 0.7435 0.7927  5 Ag 2.66-2.97, 1 Np 2.84
14 Se 0.2501 0.9387 0.2175  5 Ag 2.64-2.91, 1 Np 2.85

Calculated values
VASP energy: -0.3022 Ry/atom
Formation energy without anion corrections: -268.7 meV/atom

***

Record 2
DFT (PBE) results for NpAgSe4 after structural relaxation.

a b c (Å): 5.4947 5.4947 12.1646
angles (deg): 90.00 90.00 90.88
Last column: nearest neighbours and their distance in Å.
Element x y z (fractional)
1 Np 0.3707 0.3707 0.7500  6 Se 2.75-2.80
2 Np 0.6293 0.6293 0.2500  6 Se 2.75-2.80
3 Ag 0.8444 0.8444 0.7500  4 Se 2.75
4 Ag 0.1556 0.1556 0.2500  4 Se 2.75
5 Se 0.6545 0.1297 0.2500  2 Ag 2.75, 2 Np 2.75
6 Se 0.3455 0.8703 0.7500  2 Ag 2.75, 2 Np 2.75
7 Se 0.1297 0.6545 0.2500  2 Ag 2.75, 2 Np 2.75
8 Se 0.8703 0.3455 0.7500  2 Ag 2.75, 2 Np 2.75
9 Se 0.6494 0.6494 0.4796  1 Se 2.36
10 Se 0.3506 0.3506 0.9796  1 Se 2.36
11 Se 0.6494 0.6494 0.0204  1 Se 2.36
12 Se 0.3506 0.3506 0.5204  1 Se 2.36

Calculated values
VASP energy: -0.3943 Ry/atom
Formation energy without anion corrections: -409.7 meV/atom

***

Record 3
DFT (PBE) results for Np3Ag4Se8 after structural relaxation.

a b c (Å): 8.2730 8.2730 8.3573
angles (deg): 60.33 60.33 60.00
Last column: nearest neighbours and their distance in Å.
Element x y z (fractional)
1 Np 0.5000 0.0000 0.5000  6 Se 2.83-2.84
2 Np 0.0000 0.0000 0.5000  6 Se 2.83-2.84
3 Np 0.0000 0.5000 0.5000  6 Se 2.83-2.84
4 Ag 0.0000 0.0000 0.0000  6 Se 2.91
5 Ag 0.3654 0.3654 0.9038  4 Se 2.57-2.76, 1 Ag 2.77
6 Ag 0.5000 0.5000 0.5000  2 Ag 2.77, 6 Se 2.98
7 Ag 0.6346 0.6346 0.0962  4 Se 2.57-2.76, 1 Ag 2.77
8 Se 0.2404 0.2404 0.2788  1 Ag 2.57, 3 Np 2.83
9 Se 0.2290 0.7533 0.2643  3 Ag 2.76-2.98, 2 Np 2.84
10 Se 0.7533 0.7533 0.2643  3 Ag 2.76-2.98, 2 Np 2.84
11 Se 0.7533 0.2290 0.2643  3 Ag 2.76-2.98, 2 Np 2.84
12 Se 0.7596 0.7596 0.7212  1 Ag 2.57, 3 Np 2.83
13 Se 0.7710 0.2467 0.7357  3 Ag 2.76-2.98, 2 Np 2.84
14 Se 0.2467 0.2467 0.7357  3 Ag 2.76-2.98, 2 Np 2.84
15 Se 0.2467 0.7710 0.7357  3 Ag 2.76-2.98, 2 Np 2.84

Calculated values
VASP energy: -0.4291 Ry/atom
Formation energy without anion corrections: -631.5 meV/atom

***

Record 4
DFT (PBE) results for Np3Ag5Se12 after structural relaxation.

a b c (Å): 13.8588 13.8588 13.8588
angles (deg): 109.47 109.47 109.47
Last column: nearest neighbours and their distance in Å.
Element x y z (fractional)
1 Np 0.7500 0.3750 0.1250  8 Se 2.92-2.96
2 Np 0.8750 0.7500 0.1250  8 Se 2.92-2.96
3 Np 0.3750 0.7500 0.6250  8 Se 2.92-2.96
4 Np 0.2500 0.1250 0.3750  8 Se 2.92-2.96
5 Np 0.8750 0.1250 0.2500  8 Se 2.92-2.96
6 Np 0.3750 0.6250 0.2500  8 Se 2.92-2.96
7 Np 0.6250 0.3750 0.7500  8 Se 2.92-2.96
8 Np 0.1250 0.8750 0.7500  8 Se 2.92-2.96
9 Np 0.7500 0.8750 0.6250  8 Se 2.92-2.96
10 Np 0.6250 0.2500 0.3750  8 Se 2.92-2.96
11 Np 0.1250 0.2500 0.8750  8 Se 2.92-2.96
12 Np 0.2500 0.6250 0.8750  8 Se 2.92-2.96
13 Ag 0.1250 0.3750 0.2500  4 Se 2.58
14 Ag 0.0000 0.5000 0.0000  6 Se 2.71
15 Ag 0.0000 0.0000 0.0000  6 Se 2.71
16 Ag 0.3750 0.2500 0.1250  4 Se 2.58
17 Ag 0.5000 0.0000 0.5000  6 Se 2.71
18 Ag 0.5000 0.5000 0.0000  6 Se 2.71
19 Ag 0.1250 0.7500 0.3750  4 Se 2.58
20 Ag 0.7500 0.1250 0.8750  4 Se 2.58
21 Ag 0.7500 0.6250 0.3750  4 Se 2.58
22 Ag 0.3750 0.1250 0.7500  4 Se 2.58
23 Ag 0.6250 0.8750 0.2500  4 Se 2.58
24 Ag 0.5000 0.5000 0.5000  6 Se 2.71
25 Ag 0.5000 0.0000 0.0000  6 Se 2.71
26 Ag 0.0000 0.0000 0.5000  6 Se 2.71
27 Ag 0.2500 0.3750 0.6250  4 Se 2.58
28 Ag 0.2500 0.8750 0.1250  4 Se 2.58
29 Ag 0.0000 0.5000 0.5000  6 Se 2.71
30 Ag 0.8750 0.2500 0.6250  4 Se 2.58
31 Ag 0.6250 0.7500 0.8750  4 Se 2.58
32 Ag 0.8750 0.6250 0.7500  4 Se 2.58
33 Se 0.7238 0.1369 0.0537  2 Ag 2.58-2.71
34 Se 0.3300 0.5537 0.4168  2 Ag 2.58-2.71
35 Se 0.9463 0.3631 0.2762  2 Ag 2.58-2.71
36 Se 0.5537 0.2238 0.1369  2 Ag 2.58-2.71
37 Se 0.5868 0.7238 0.6700  2 Ag 2.58-2.71
38 Se 0.9463 0.5832 0.1700  2 Ag 2.58-2.71
39 Se 0.3300 0.7762 0.4132  2 Ag 2.58-2.71
40 Se 0.0832 0.9132 0.1369  2 Ag 2.58-2.71
41 Se 0.5832 0.9463 0.6700  2 Ag 2.58-2.71
42 Se 0.7238 0.5868 0.1700  2 Ag 2.58-2.71
43 Se 0.7762 0.4463 0.3631  2 Ag 2.58-2.71
44 Se 0.8300 0.9168 0.0537  2 Ag 2.58-2.71
45 Se 0.1369 0.7238 0.5537  2 Ag 2.58-2.71
46 Se 0.3631 0.4168 0.0868  2 Ag 2.58-2.71
47 Se 0.0868 0.9168 0.3631  2 Ag 2.58-2.71
48 Se 0.4132 0.1369 0.5832  2 Ag 2.58-2.71
49 Se 0.0868 0.1700 0.2238  2 Ag 2.58-2.71
50 Se 0.4463 0.6700 0.0832  2 Ag 2.58-2.71
51 Se 0.8300 0.9132 0.2762  2 Ag 2.58-2.71
52 Se 0.1369 0.4132 0.0832  2 Ag 2.58-2.71
53 Se 0.3631 0.9463 0.7762  2 Ag 2.58-2.71
54 Se 0.5832 0.6369 0.4132  2 Ag 2.58-2.71
55 Se 0.9168 0.8300 0.5537  2 Ag 2.58-2.71
56 Se 0.7762 0.3300 0.9132  2 Ag 2.58-2.71
57 Se 0.4168 0.3631 0.5868  2 Ag 2.58-2.71
58 Se 0.0832 0.1700 0.4463  2 Ag 2.58-2.71
59 Se 0.2238 0.6700 0.0868  2 Ag 2.58-2.71
60 Se 0.1700 0.0868 0.7238  2 Ag 2.58-2.71
61 Se 0.6369 0.0537 0.2238  2 Ag 2.58-2.71
62 Se 0.8631 0.5868 0.9168  2 Ag 2.58-2.71
63 Se 0.5537 0.3300 0.9168  2 Ag 2.58-2.71
64 Se 0.5868 0.8631 0.4168  2 Ag 2.58-2.71
65 Se 0.9132 0.8300 0.7762  2 Ag 2.58-2.71
66 Se 0.9132 0.0832 0.6369  2 Ag 2.58-2.71
67 Se 0.8631 0.2762 0.4463  2 Ag 2.58-2.71
68 Se 0.1700 0.0832 0.9463  2 Ag 2.58-2.71
69 Se 0.6369 0.5832 0.9132  2 Ag 2.58-2.71
70 Se 0.4168 0.0537 0.3300  2 Ag 2.58-2.71
71 Se 0.2762 0.4132 0.8300  2 Ag 2.58-2.71
72 Se 0.2238 0.5537 0.6369  2 Ag 2.58-2.71
73 Se 0.9168 0.0868 0.8631  2 Ag 2.58-2.71
74 Se 0.6700 0.2238 0.5868  2 Ag 2.58-2.71
75 Se 0.4463 0.7762 0.8631  2 Ag 2.58-2.71
76 Se 0.0537 0.4168 0.8300  2 Ag 2.58-2.71
77 Se 0.4132 0.2762 0.3300  2 Ag 2.58-2.71
78 Se 0.0537 0.6369 0.7238  2 Ag 2.58-2.71
79 Se 0.6700 0.4463 0.5832  2 Ag 2.58-2.71
80 Se 0.2762 0.8631 0.9463  2 Ag 2.58-2.71

Calculated values
VASP energy: -0.3777 Ry/atom
Formation energy without anion corrections: -393.9 meV/atom

***

Record 5
DFT (PBE) results for NpAgSe2 after structural relaxation.

a b c (Å): 4.3014 4.3014 8.3429
angles (deg): 75.06 75.06 60.00
Last column: nearest neighbours and their distance in Å.
Element x y z (fractional)
1 Np 0.5000 0.5000 0.5000  6 Se 2.90
2 Se 0.1041 0.1041 0.6877  1 Ag 2.49
3 Se 0.8959 0.8959 0.3123  1 Ag 2.49
4 Ag 0.0000 0.0000 0.0000  2 Se 2.49

Calculated values
VASP energy: -0.4672 Ry/atom
Formation energy without anion corrections: -666.8 meV/atom

***

Record 6
DFT (PBE) results for NpAg3Se4 after structural relaxation.

a b c (Å): 4.2130 6.8426 6.8422
angles (deg): 70.53 95.91 95.92
Last column: nearest neighbours and their distance in Å.
Element x y z (fractional)
1 Np 0.4999 0.5001 0.0000  6 Se 2.79-2.85
2 Se 0.0000 0.7440 0.7561  4 Ag 2.79-2.92, 2 Np 2.85
3 Se 0.5724 0.7515 0.2513  3 Ag 2.67-2.83, 1 Np 2.79
4 Se 0.9999 0.2562 0.2438  4 Ag 2.79-2.92, 2 Np 2.85
5 Se 0.4274 0.2488 0.7486  3 Ag 2.67-2.83, 1 Np 2.79
6 Ag 0.5001 0.0002 0.5000  6 Se 2.83-2.92
7 Ag 0.9999 0.0001 0.0000  4 Se 2.67-2.79
8 Ag 0.9999 0.5001 0.5000  4 Se 2.67-2.79

Calculated values
VASP energy: -0.3559 Ry/atom
Formation energy without anion corrections: -412.7 meV/atom

***

Record 7
DFT (PBE) results for NpAgSe2 after structural relaxation.

a b c (Å): 4.3369 7.1247 6.5678
angles (deg): 90.00 90.00 90.00
Last column: nearest neighbours and their distance in Å.
Element x y z (fractional)
1 Np 0.0000 0.5000 0.0000  6 Se 2.91
2 Np 0.5000 0.0000 0.5000  6 Se 2.91
3 Ag 0.5000 0.5000 0.5000  2 Se 2.62
4 Ag 0.0000 0.0000 0.0000  2 Se 2.62
5 Se 0.0000 0.2178 0.3212  1 Ag 2.62, 3 Np 2.91
6 Se 0.0000 0.7822 0.6788  1 Ag 2.62, 3 Np 2.91
7 Se 0.5000 0.2822 0.8212  1 Ag 2.62, 3 Np 2.91
8 Se 0.5000 0.7178 0.1788  1 Ag 2.62, 3 Np 2.91

Calculated values
VASP energy: -0.4709 Ry/atom
Formation energy without anion corrections: -716.1 meV/atom

***

Record 8
DFT (PBE) results for NpAgSe2 after structural relaxation.

a b c (Å): 4.0117 4.0117 7.3046
angles (deg): 74.06 74.06 60.00
Last column: nearest neighbours and their distance in Å.
Element x y z (fractional)
1 Np 0.5000 0.5000 0.5001  6 Se 2.91-2.92
2 Ag 0.6678 0.6678 0.9967  6 Se 2.85-2.89
3 Se 0.0810 0.0810 0.7570  3 Ag 2.85, 3 Np 2.92
4 Se 0.2513 0.2513 0.2462  3 Ag 2.89, 3 Np 2.91

Calculated values
VASP energy: -0.4656 Ry/atom
Formation energy without anion corrections: -645.2 meV/atom